1.
A plane-wave DFT calculation with PBE-GGA was carried out for a relaxed NbPbC3 crystal.

Results
Offset from the most stable computed form = 0.0 meV/atom
ΔE_f = 1.719 eV per atom

Cell: 4.2910 4.2910 4.2910 Å, 90.00 90.00 90.00°
Atoms (fractional coordinates):
1 Pb 0.5000 0.5000 0.5000
2 Nb 0.0000 0.0000 0.0000
3 C 0.0000 0.5000 0.0000
4 C 0.0000 0.0000 0.5000
5 C 0.5000 0.0000 0.0000

2.
A plane-wave DFT calculation with PBE-GGA was carried out for a relaxed CdO2F2 crystal.

Results
ΔE_f (raw) = 0.95 eV/f.u.

Cell: 3.5451 3.5451 4.6631 Å, 90.00 90.00 90.00°
Last column: magnetic moment on the atom in μB.
Atoms (fractional coordinates):
1 F 0.0000 0.0000 0.0000  -0.02
2 F 0.0000 0.0000 0.5000  -0.01
3 O 0.0000 0.5000 0.0000  0.31
4 O 0.5000 0.0000 0.0000  0.31
5 Cd 0.5000 0.5000 0.5000  -0.01